LaCe3Ir: relaxed, GGA-PBE.

Cell lengths 5.531, 5.531, 5.531 Å; angles 90.00, 90.00, 90.00 degrees
Space group Pm-3m (No. 221)
Unique sites:
La (0.000, 0.000, 0.000) (multiplicity 1)
Ce (0.000, 0.500, 0.500) (multiplicity 3)
Ir (0.500, 0.500, 0.500) (multiplicity 1)

final energy = -6.44 eV per atom